A plane-wave DFT calculation with GGA-PBEsol was carried out for a relaxed structure of Li2TlF.

Properties
The energy relative to the elements, uncorrected comes out at -727 meV/atom. Its crystal system is cubic. Its calculated density is 5.7 g/cm³. The value obtained for the total energy is -2.849 eV/atom.

Lattice parameters (Å, degrees): 6.502 6.502 6.502 90.00 90.00 90.00
Space group Fm-3m (No. 225)
Symmetry-distinct sites (fractional):
Li  0.250  0.250  0.250
Tl  0.000  0.000  0.000
F  0.000  0.000  0.500


A plane-wave DFT calculation with GGA-PBEsol was carried out for a relaxed structure of Sr5As3.

Properties
Its crystal system is hexagonal. Its calculated density is 4.5 g/cm³. For the formation energy, the calculation gives -1074.5 meV/atom. The value obtained for the total energy is -4.140 eV/atom.

Lattice parameters (Å, degrees): 8.9310 8.9310 7.1221 90.00 90.00 120.00
Space group P6_3/mcm (No. 193)
Symmetry-distinct sites (fractional):
Sr  0.0000  0.2555  0.2500
Sr  0.3333  0.6667  0.0000
As  0.0000  0.3911  0.7500


A plane-wave DFT calculation with GGA-PBEsol was carried out for a relaxed structure of MnCo2H.

Properties
Its crystal system is tetragonal. Its calculated density is 8.4 g/cm³. The value obtained for the total energy is -6.890 eV/atom.

Lattice parameters (Å, degrees): 5.544 5.544 4.466 90.00 90.00 90.00
Space group I-42d (No. 122)
Symmetry-distinct sites (fractional):
Mn  0.000  0.000  0.000
Co  0.153  0.750  0.625
H  0.000  0.000  0.500


A plane-wave DFT calculation with GGA-PBEsol was carried out for a relaxed structure of LiCdB3.

Properties
Its crystal system is cubic. Its calculated density is 4.4 g/cm³. For the formation energy, the calculation gives 1885.1 meV/atom. The value obtained for the total energy is -2.957 eV/atom.

Lattice parameters (Å, degrees): 3.860 3.860 3.860 90.00 90.00 90.00
Space group Pm-3m (No. 221)
Symmetry-distinct sites (fractional):
Li  0.000  0.000  0.000
Cd  0.500  0.500  0.500
B  0.000  0.000  0.500


A plane-wave DFT calculation with GGA-PBEsol was carried out for a relaxed structure of K2MoOs.

Properties
The energy above the most stable polymorph in this dataset comes out at 0.549 eV per atom. Its crystal system is orthorhombic. Its calculated density is 7.6 g/cm³. For the formation energy, the calculation gives 1416.2 meV/atom. The value obtained for the total energy is -5.146 eV/atom.

Lattice parameters (Å, degrees): 2.980 4.468 11.890 90.00 90.00 90.00
Space group Cmmm (No. 65)
Symmetry-distinct sites (fractional):
K  0.000  0.000  0.237
Mo  0.000  0.500  0.500
Os  0.000  0.500  0.000


A plane-wave DFT calculation with GGA-PBEsol was carried out for a relaxed structure of Mg2ZnPd2.

Properties
Its crystal system is tetragonal. Its calculated density is 6.5 g/cm³. For the formation energy, the calculation gives -517.5 meV/atom. The value obtained for the total energy is -3.904 eV/atom.

Lattice parameters (Å, degrees): 6.537 6.537 3.928 90.00 90.00 90.00
Space group P4/mbm (No. 127)
Symmetry-distinct sites (fractional):
Mg  0.161  0.339  0.000
Zn  0.000  0.000  0.500
Pd  0.145  0.645  0.500


A plane-wave DFT calculation with GGA-PBEsol was carried out for a relaxed structure of CdFe3Hg.

Properties
Its crystal system is cubic. Its calculated density is 7.4 g/cm³. For the formation energy, the calculation gives 1591.8 meV/atom. The value obtained for the total energy is -4.139 eV/atom.

Lattice parameters (Å, degrees): 4.752 4.752 4.752 90.00 90.00 90.00
Space group Pm-3m (No. 221)
Symmetry-distinct sites (fractional):
Cd  0.000  0.000  0.000
Fe  0.000  0.500  0.500
Hg  0.500  0.500  0.500


A plane-wave DFT calculation with GGA-PBEsol was carried out for a relaxed structure of Mg2SiOs2.

Properties
The energy relative to the elements, uncorrected comes out at -115 meV/atom. Its crystal system is tetragonal. Its calculated density is 9.3 g/cm³. The value obtained for the total energy is -6.838 eV/atom.

Lattice parameters (Å, degrees): 6.121 6.121 4.363 90.00 90.00 90.00
Space group P4/mbm (No. 127)
Symmetry-distinct sites (fractional):
Mg  0.166  0.334  0.000
Si  0.000  0.000  0.500
Os  0.142  0.642  0.500


A plane-wave DFT calculation with GGA-PBEsol was carried out for a relaxed structure of Zr3Ta4.

Properties
Its crystal system is tetragonal. Its calculated density is 12.1 g/cm³. For the formation energy, the calculation gives 76.7 meV/atom. The value obtained for the total energy is -10.991 eV/atom.

Lattice parameters (Å, degrees): 3.339 3.339 24.507 90.00 90.00 90.00
Space group I4/mmm (No. 139)
Symmetry-distinct sites (fractional):
Zr  0.000  0.000  0.000
Zr  0.000  0.000  0.292
Ta  0.000  0.000  0.134
Ta  0.000  0.000  0.425


A plane-wave DFT calculation with GGA-PBEsol was carried out for a relaxed structure of MnAuCl2.

Properties
The energy relative to the elements, uncorrected comes out at -104 meV/atom. The energy above the most stable polymorph in this dataset comes out at 0.263 eV per atom. Its crystal system is orthorhombic. Its calculated density is 6.4 g/cm³. The value obtained for the total energy is -4.529 eV/atom.

Lattice parameters (Å, degrees): 3.358 5.272 9.448 90.00 90.00 90.00
Space group Cmmm (No. 65)
Symmetry-distinct sites (fractional):
Mn  0.000  0.000  0.000
Au  0.000  0.000  0.500
Cl  0.000  0.500  0.176


A plane-wave DFT calculation with GGA-PBEsol was carried out for a relaxed structure of Fe2AgBr.

Properties
The energy relative to the elements, uncorrected comes out at 618 meV/atom. The energy above the most stable polymorph in this dataset comes out at 0.000 eV per atom. Its crystal system is trigonal. Its calculated density is 8.1 g/cm³. The value obtained for the total energy is -5.159 eV/atom.

Lattice parameters (Å, degrees): 2.9517 2.9517 24.3991 90.00 90.00 120.00
Space group R-3m (No. 166, hexagonal axes)
Symmetry-distinct sites (fractional):
Fe  0.0000  0.0000  0.2469
Ag  0.0000  0.0000  0.0000
Br  0.0000  0.0000  0.5000


A plane-wave DFT calculation with GGA-PBEsol was carried out for a relaxed structure of Sc3CrMo.

Properties
Its crystal system is cubic. Its calculated density is 4.0 g/cm³. For the formation energy, the calculation gives 841.1 meV/atom. The value obtained for the total energy is -7.524 eV/atom.

Lattice parameters (Å, degrees): 4.905 4.905 4.905 90.00 90.00 90.00
Space group Pm-3m (No. 221)
Symmetry-distinct sites (fractional):
Sc  0.000  0.000  0.500
Cr  0.500  0.500  0.500
Mo  0.000  0.000  0.000